(1)
PmPrNd3Sm | PBE | relaxed

The structure belongs to space group C2/m (No. 12); the cell edges are 20.7501, 5.8539 and 6.9525 Å and the angles 90.00°, 90.08° and 90.00°. The distinct sites, in fractional coordinates, are Pm at (0.1467, 0.0000, 0.0271), Pr at (0.0568, 0.5000, 0.2515), Nd at (0.0187, 0.0000, 0.7499), Nd at (0.1630, 0.5000, 0.7498), Nd at (0.2196, 0.5000, 0.2514) and Sm at (0.1463, 0.0000, 0.4733).

For the magnetization, the calculation gives 0.00 Bohr magnetons per cell. Its crystal system is monoclinic. For the energy of formation, the calculation gives 0.152 eV/atom.

---

(2)
BaPtW | PBE | relaxed

The structure belongs to space group Cmcm (No. 63); the cell edges are 4.5590, 12.5275 and 5.2757 Å and the angles 90.00°, 90.00° and 90.00°. The distinct sites, in fractional coordinates, are Ba at (0.0000, 0.2097, 0.2500), Pt at (0.0000, 0.0496, 0.7500) and W at (0.0000, 0.5000, 0.0000).

For the magnetization, the calculation gives 0.00 Bohr magnetons per cell. Its crystal system is orthorhombic. For the energy of formation, the calculation gives 0.042 eV/atom. The calculation puts the energy above the lowest structure with this stoichiometry at 1 meV/atom.

---

(3)
PrScZnAu | PBE | relaxed

The structure belongs to space group F-43m (No. 216); the cell edges are 7.1545, 7.1545 and 7.1545 Å and the angles 90.00°, 90.00° and 90.00°. The distinct sites, in fractional coordinates, are Pr at (0.0000, 0.0000, 0.0000), Sc at (0.0000, 0.0000, 0.5000), Zn at (0.2500, 0.2500, 0.2500) and Au at (0.2500, 0.2500, 0.7500).

For the magnetization, the calculation gives 0.00 Bohr magnetons per cell. Its crystal system is cubic. For the energy of formation, the calculation gives -0.490 eV/atom.

---

(4)
MnGa2Cl8 | PBE | relaxed

The structure belongs to space group C2/c (No. 15); the cell edges are 17.7989, 8.7739 and 11.8068 Å and the angles 90.00°, 128.56° and 90.00°. The distinct sites, in fractional coordinates, are Mn at (0.0000, 0.0086, 0.2500), Ga at (0.0837, 0.2404, 0.5346), Cl at (0.0650, 0.2138, 0.1734), Cl at (0.0861, 0.2090, 0.7245), Cl at (0.1489, 0.0355, 0.5104) and Cl at (0.1514, 0.4511, 0.5545).

For the magnetization, the calculation gives 20.00 Bohr magnetons per cell. As for the formation energy (no corrections): -12.3 eV per formula unit. Its crystal system is monoclinic.

---

(5)
PmHo5Th2 | PBE | relaxed

The structure belongs to space group Immm (No. 71); the cell edges are 3.5172, 11.1688 and 13.2165 Å and the angles 90.00°, 90.00° and 90.00°. The distinct sites, in fractional coordinates, are Pm at (0.0000, 0.0000, 0.0000), Ho at (0.0000, 0.2296, 0.3688), Ho at (0.0000, 0.5000, 0.0000) and Th at (0.0000, 0.5000, 0.2606).

For the magnetization, the calculation gives 0.00 Bohr magnetons per cell. Its crystal system is orthorhombic. For the energy of formation, the calculation gives 0.097 eV/atom.

---

(6)
HfNbPd3 | PBE | relaxed

The structure belongs to space group Pm-3m (No. 221); the cell edges are 4.7766, 4.7766 and 4.7766 Å and the angles 90.00°, 90.00° and 90.00°. The distinct sites, in fractional coordinates, are Hf at (0.0000, 0.0000, 0.0000), Nb at (0.5000, 0.5000, 0.5000) and Pd at (0.0000, 0.5000, 0.5000).

For the magnetization, the calculation gives 0.00 Bohr magnetons per cell. Its crystal system is cubic. For the energy of formation, the calculation gives 0.759 eV/atom. The calculation puts the energy above the lowest structure with this stoichiometry at 0 meV/atom.

---

(7)
LaCr2Mo | PBE | relaxed

The structure belongs to space group Pm (No. 6); the cell edges are 2.9881, 3.6387 and 6.9517 Å and the angles 90.00°, 101.87° and 90.00°. The distinct sites, in fractional coordinates, are La at (0.0000, 0.0000, 0.0000), Cr at (0.1996, 0.5000, 0.6723), Cr at (0.4510, 0.0000, 0.5302) and Mo at (0.7544, 0.5000, 0.3532).

For the magnetization, the calculation gives 0.00 Bohr magnetons per cell. Its crystal system is monoclinic. For the energy of formation, the calculation gives 0.537 eV/atom. The calculation puts the energy above the lowest structure with this stoichiometry at 109 meV/atom.

---

(8)
Ga2Sn2Rh | PBE | relaxed

The structure belongs to space group P4/mbm (No. 127); the cell edges are 6.5913, 6.5913 and 4.7578 Å and the angles 90.00°, 90.00° and 90.00°. The distinct sites, in fractional coordinates, are Ga at (0.1424, 0.3576, 0.0000), Sn at (0.1789, 0.6789, 0.5000) and Rh at (0.0000, 0.0000, 0.0000).

For the magnetization, the calculation gives 0.00 Bohr magnetons per cell. Its crystal system is tetragonal. For the energy of formation, the calculation gives -0.048 eV/atom. The calculation puts the energy above the lowest structure with this stoichiometry at 0 meV/atom.

---

(9)
AcNd2Cu | PBE | relaxed

The structure belongs to space group P4/mmm (No. 123); the cell edges are 5.7071, 5.7071 and 3.7977 Å and the angles 90.00°, 90.00° and 90.00°. The distinct sites, in fractional coordinates, are Ac at (0.0000, 0.0000, 0.0000), Nd at (0.0000, 0.5000, 0.5000) and Cu at (0.5000, 0.5000, 0.0000).

For the magnetization, the calculation gives 0.00 Bohr magnetons per cell. Its crystal system is tetragonal. For the energy of formation, the calculation gives 0.242 eV/atom. The calculation puts the energy above the lowest structure with this stoichiometry at 287 meV/atom.

---

(10)
Rb3LaGa | PBE | relaxed

The structure belongs to space group Pm-3m (No. 221); the cell edges are 6.8411, 6.8411 and 6.8411 Å and the angles 90.00°, 90.00° and 90.00°. The distinct sites, in fractional coordinates, are Rb at (0.0000, 0.0000, 0.5000), La at (0.5000, 0.5000, 0.5000) and Ga at (0.0000, 0.0000, 0.0000).

For the magnetization, the calculation gives 1.04 Bohr magnetons per cell. Its crystal system is cubic. For the energy of formation, the calculation gives 0.684 eV/atom.

---

(11)
BePtCl2 | PBE | relaxed

The structure belongs to space group Pmmm (No. 47); the cell edges are 3.0956, 3.8879 and 5.7335 Å and the angles 90.00°, 90.00° and 90.00°. The distinct sites, in fractional coordinates, are Be at (0.0000, 0.0000, 0.0000), Pt at (0.5000, 0.0000, 0.5000), Cl at (0.0000, 0.5000, 0.5000) and Cl at (0.5000, 0.5000, 0.0000).

For the magnetization, the calculation gives 0.00 Bohr magnetons per cell. As for the formation energy (no corrections): 1.4 eV per formula unit. Its crystal system is orthorhombic. The calculation puts the energy above the lowest structure with this stoichiometry at 786 meV/atom.

---

(12)
Ca2CuGe3 | PBE | relaxed

The structure belongs to space group Pmm2 (No. 25); the cell edges are 4.2564, 4.3345 and 7.1824 Å and the angles 90.00°, 90.00° and 90.00°. The distinct sites, in fractional coordinates, are Ca at (0.0000, 0.0000, 0.0000), Ca at (0.5000, 0.0000, 0.4988), Cu at (0.5000, 0.5000, 0.1781), Ge at (0.0000, 0.5000, 0.3172), Ge at (0.0000, 0.5000, 0.6606) and Ge at (0.5000, 0.5000, 0.8489).

For the magnetization, the calculation gives 0.00 Bohr magnetons per cell. Its crystal system is orthorhombic. For the energy of formation, the calculation gives -0.489 eV/atom.

---

(13)
RbGa2Pb | PBE | relaxed

The structure belongs to space group I4_1/amd (No. 141, origin choice 2); the cell edges are 5.4173, 5.4173 and 20.3199 Å and the angles 90.00°, 90.00° and 90.00°. The distinct sites, in fractional coordinates, are Rb at (0.0000, 0.2500, 0.3750), Ga at (0.0000, 0.0000, 0.0000) and Pb at (0.0000, 0.2500, 0.8750).

For the magnetization, the calculation gives 0.00 Bohr magnetons per cell. Its crystal system is tetragonal. For the energy of formation, the calculation gives 0.095 eV/atom.

---

(14)
Li2PrGaSn2 | PBE | relaxed

The structure belongs to space group Pmc2_1 (No. 26); the cell edges are 4.5066, 8.4832 and 7.5617 Å and the angles 90.00°, 90.00° and 90.00°. The distinct sites, in fractional coordinates, are Li at (0.0000, 0.0794, 0.0000), Li at (0.5000, 0.1510, 0.3340), Pr at (0.5000, 0.4488, 0.9867), Ga at (0.0000, 0.3369, 0.6643), Sn at (0.0000, 0.3360, 0.2746) and Sn at (0.5000, 0.1531, 0.7100).

For the magnetization, the calculation gives 0.00 Bohr magnetons per cell. Its crystal system is orthorhombic. For the energy of formation, the calculation gives -0.455 eV/atom.

---

(15)
Sr7Pt3 | PBE | relaxed

The structure belongs to space group Pnma (No. 62); the cell edges are 7.9983, 24.4216 and 7.1928 Å and the angles 90.00°, 90.00° and 90.00°. The distinct sites, in fractional coordinates, are Sr at (0.0425, 0.1178, 0.1550), Sr at (0.1684, 0.0223, 0.6770), Sr at (0.1761, 0.7500, 0.6474), Sr at (0.1795, 0.1742, 0.6848), Pt at (0.0214, 0.7500, 0.0342) and Pt at (0.1222, 0.5948, 0.4633).

For the magnetization, the calculation gives 0.00 Bohr magnetons per cell. Its crystal system is orthorhombic. For the energy of formation, the calculation gives -0.645 eV/atom.

---

(16)
Na2ReBr | PBE | relaxed

The structure belongs to space group Fm-3m (No. 225); the cell edges are 7.5682, 7.5682 and 7.5682 Å and the angles 90.00°, 90.00° and 90.00°. The distinct sites, in fractional coordinates, are Na at (0.2500, 0.2500, 0.2500), Re at (0.0000, 0.0000, 0.0000) and Br at (0.0000, 0.0000, 0.5000).

For the magnetization, the calculation gives 16.05 Bohr magnetons per cell. As for the formation energy (no corrections): 3.9 eV per formula unit. Its crystal system is cubic. The calculation puts the energy above the lowest structure with this stoichiometry at 17 meV/atom.

---

(17)
Hf2Te2Br | PBE | relaxed

The structure belongs to space group P4/mbm (No. 127); the cell edges are 8.1449, 8.1449 and 3.6780 Å and the angles 90.00°, 90.00° and 90.00°. The distinct sites, in fractional coordinates, are Hf at (0.1335, 0.3665, 0.0000), Te at (0.1498, 0.6498, 0.5000) and Br at (0.0000, 0.0000, 0.0000).

For the magnetization, the calculation gives 0.00 Bohr magnetons per cell. As for the formation energy (no corrections): -2.9 eV per formula unit. Its crystal system is tetragonal.

---

(18)
Be3SI | PBE | relaxed

The structure belongs to space group Pm-3m (No. 221); the cell edges are 4.7576, 4.7576 and 4.7576 Å and the angles 90.00°, 90.00° and 90.00°. The distinct sites, in fractional coordinates, are Be at (0.0000, 0.0000, 0.5000), S at (0.5000, 0.5000, 0.5000) and I at (0.0000, 0.0000, 0.0000).

For the magnetization, the calculation gives 0.00 Bohr magnetons per cell. As for the formation energy (no corrections): 8.3 eV per formula unit. Its crystal system is cubic. The calculation puts the energy above the lowest structure with this stoichiometry at 861 meV/atom.

---

(19)
Be2TeCl | PBE | relaxed

The structure belongs to space group C2/m (No. 12); the cell edges are 6.8372, 6.8592 and 4.4115 Å and the angles 90.00°, 119.93° and 90.00°. The distinct sites, in fractional coordinates, are Be at (0.2500, 0.2500, 0.0000), Te at (0.0000, 0.0000, 0.0000) and Cl at (0.0000, 0.5000, 0.0000).

For the magnetization, the calculation gives 0.00 Bohr magnetons per cell. As for the formation energy (no corrections): 0.8 eV per formula unit. Its crystal system is monoclinic. The calculation puts the energy above the lowest structure with this stoichiometry at 339 meV/atom.

---

(20)
Rb2PrDyO4 | PBE | relaxed

The structure belongs to space group P2/m (No. 10); the cell edges are 6.2513, 3.6092 and 6.9140 Å and the angles 90.00°, 107.49° and 90.00°. The distinct sites, in fractional coordinates, are Rb at (0.0000, 0.0000, 0.0000), Rb at (0.5000, 0.5000, 0.0000), Pr at (0.0000, 0.5000, 0.5000), Dy at (0.5000, 0.0000, 0.5000), O at (0.2380, 0.0000, 0.6797) and O at (0.2841, 0.5000, 0.3225).

For the magnetization, the calculation gives 0.00 Bohr magnetons per cell. As for the formation energy (no corrections): -20.8 eV per formula unit. Its crystal system is monoclinic.